(1)
! CaCe2PuTe4, relaxed, DFT PBE; values from VASP
! ρ: 7.0 g cm⁻³
! raw total energy: -6.4376 eV per atom
! formation energy (no corrections): -1.34 eV/atom
! space group: P2/m (10)
&SYSTEM
  ibrav = 0, nat = 8, ntyp = 4
/
ATOMIC_SPECIES
Ca 40.08 Ca.upf
Ce 140.12 Ce.upf
Pu 244.00 Pu.upf
Te 127.60 Te.upf
ATOMIC_POSITIONS crystal
Ca 0.000 0.000 0.000
Ce 0.000 0.500 0.500
Ce 0.500 0.000 0.500
Pu 0.500 0.500 0.000
Te 0.248 0.500 0.245
Te 0.252 0.000 0.756
Te 0.748 0.000 0.244
Te 0.752 0.500 0.755
CELL_PARAMETERS angstrom
7.768 0.000 0.000
0.000 4.470 0.000
-2.588 0.000 7.369


(2)
! Ca2CePuTe4, relaxed, DFT PBE; values from VASP
! ρ: 6.3 g cm⁻³
! raw total energy: -5.9871 eV per atom
! formation energy (no corrections): -1.38 eV/atom
! space group: P2/m (10)
&SYSTEM
  ibrav = 0, nat = 8, ntyp = 4
/
ATOMIC_SPECIES
Ca 40.08 Ca.upf
Ce 140.12 Ce.upf
Pu 244.00 Pu.upf
Te 127.60 Te.upf
ATOMIC_POSITIONS crystal
Ca 0.000 0.000 0.000
Ca 0.500 0.500 0.000
Ce 0.000 0.500 0.500
Pu 0.500 0.000 0.500
Te 0.252 0.500 0.249
Te 0.253 0.000 0.754
Te 0.747 0.000 0.246
Te 0.748 0.500 0.751
CELL_PARAMETERS angstrom
7.791 0.000 0.000
0.000 4.475 0.000
-2.593 0.000 7.404


(3)
! CaCe3Pu2Te6, relaxed, DFT PBE; values from VASP
! ρ: 7.5 g cm⁻³
! raw total energy: -6.9139 eV per atom
! formation energy (no corrections): -1.30 eV/atom
! space group: C2/m (12)
&SYSTEM
  ibrav = 0, nat = 12, ntyp = 4
/
ATOMIC_SPECIES
Ca 40.08 Ca.upf
Ce 140.12 Ce.upf
Pu 244.00 Pu.upf
Te 127.60 Te.upf
ATOMIC_POSITIONS crystal
Ca 0.000 0.000 0.000
Ce 0.000 0.000 0.500
Ce 0.332 0.332 0.167
Ce 0.668 0.668 0.833
Pu 0.333 0.333 0.665
Pu 0.667 0.667 0.335
Te 0.165 0.165 0.086
Te 0.168 0.168 0.580
Te 0.499 0.499 0.753
Te 0.501 0.501 0.247
Te 0.832 0.832 0.420
Te 0.835 0.835 0.914
CELL_PARAMETERS angstrom
9.793 -2.232 0.000
9.793 2.232 0.000
-2.126 0.000 8.735


(4)
! Ca3CePu2Te6, relaxed, DFT PBE; values from VASP
! ρ: 6.5 g cm⁻³
! raw total energy: -6.3284 eV per atom
! formation energy (no corrections): -1.37 eV/atom
! space group: C2/m (12)
&SYSTEM
  ibrav = 0, nat = 12, ntyp = 4
/
ATOMIC_SPECIES
Ca 40.08 Ca.upf
Ce 140.12 Ce.upf
Pu 244.00 Pu.upf
Te 127.60 Te.upf
ATOMIC_POSITIONS crystal
Ca 0.000 0.000 0.000
Ca 0.334 0.666 0.000
Ca 0.666 0.334 0.000
Ce 0.500 0.500 0.500
Pu 0.167 0.833 0.500
Pu 0.833 0.167 0.500
Te 0.080 0.416 0.248
Te 0.248 0.248 0.751
Te 0.416 0.080 0.248
Te 0.584 0.920 0.752
Te 0.752 0.752 0.249
Te 0.920 0.584 0.752
CELL_PARAMETERS angstrom
3.875 -6.710 0.000
3.875 6.710 0.000
-2.584 0.000 7.427


(5)
! Rb3CaCe3S8, relaxed, DFT PBE; values from VASP
! ρ: 3.5 g cm⁻³
! raw total energy: -5.4733 eV per atom
! formation energy (no corrections): -1.76 eV/atom
! space group: R-3m (166)
&SYSTEM
  ibrav = 0, nat = 15, ntyp = 4
/
ATOMIC_SPECIES
Rb 85.47 Rb.upf
Ca 40.08 Ca.upf
Ce 140.12 Ce.upf
S 32.06 S.upf
ATOMIC_POSITIONS crystal
Rb 0.000 0.500 0.500
Rb 0.500 0.000 0.500
Rb 0.500 0.500 0.000
Ca 0.500 0.500 0.500
Ce 0.000 0.000 0.500
Ce 0.000 0.500 0.000
Ce 0.500 0.000 0.000
S 0.218 0.734 0.734
S 0.231 0.231 0.231
S 0.266 0.266 0.782
S 0.266 0.782 0.266
S 0.734 0.218 0.734
S 0.734 0.734 0.218
S 0.769 0.769 0.769
S 0.782 0.266 0.266
CELL_PARAMETERS angstrom
4.155 2.399 7.713
-4.155 2.399 7.713
0.000 -4.798 7.713


(6)
! Rb3Ca2CeS6, relaxed, DFT PBE; values from VASP
! ρ: 3.2 g cm⁻³
! raw total energy: -4.6961 eV per atom
! formation energy (no corrections): -1.56 eV/atom
! space group: C2/m (12)
&SYSTEM
  ibrav = 0, nat = 12, ntyp = 4
/
ATOMIC_SPECIES
Rb 85.47 Rb.upf
Ca 40.08 Ca.upf
Ce 140.12 Ce.upf
S 32.06 S.upf
ATOMIC_POSITIONS crystal
Rb 0.000 0.000 0.000
Rb 0.329 0.671 0.000
Rb 0.671 0.329 0.000
Ca 0.166 0.834 0.500
Ca 0.834 0.166 0.500
Ce 0.500 0.500 0.500
S 0.115 0.436 0.307
S 0.244 0.244 0.694
S 0.436 0.115 0.307
S 0.564 0.885 0.693
S 0.756 0.756 0.306
S 0.885 0.564 0.693
CELL_PARAMETERS angstrom
3.638 -6.299 0.000
3.638 6.299 0.000
-2.421 0.000 7.610


(7)
! Rb4CaCe3S8, relaxed, DFT PBE; values from VASP
! ρ: 3.7 g cm⁻³
! raw total energy: -5.3106 eV per atom
! formation energy (no corrections): -1.77 eV/atom
! space group: R-3m (166)
&SYSTEM
  ibrav = 0, nat = 16, ntyp = 4
/
ATOMIC_SPECIES
Rb 85.47 Rb.upf
Ca 40.08 Ca.upf
Ce 140.12 Ce.upf
S 32.06 S.upf
ATOMIC_POSITIONS crystal
Rb 0.000 0.000 0.000
Rb 0.000 0.500 0.500
Rb 0.500 0.000 0.500
Rb 0.500 0.500 0.000
Ca 0.500 0.500 0.500
Ce 0.000 0.000 0.500
Ce 0.000 0.500 0.000
Ce 0.500 0.000 0.000
S 0.223 0.735 0.735
S 0.232 0.232 0.232
S 0.265 0.265 0.777
S 0.265 0.777 0.265
S 0.735 0.223 0.735
S 0.735 0.735 0.223
S 0.768 0.768 0.768
S 0.777 0.265 0.265
CELL_PARAMETERS angstrom
4.218 2.436 7.649
-4.218 2.436 7.649
0.000 -4.871 7.649


(8)
! Rb2CaCeS4, relaxed, DFT PBE; values from VASP
! ρ: 3.4 g cm⁻³
! raw total energy: -5.0073 eV per atom
! formation energy (no corrections): -1.71 eV/atom
! space group: P2/m (10)
&SYSTEM
  ibrav = 0, nat = 8, ntyp = 4
/
ATOMIC_SPECIES
Rb 85.47 Rb.upf
Ca 40.08 Ca.upf
Ce 140.12 Ce.upf
S 32.06 S.upf
ATOMIC_POSITIONS crystal
Rb 0.000 0.000 0.000
Rb 0.500 0.500 0.000
Ca 0.000 0.500 0.500
Ce 0.500 0.000 0.500
S 0.246 0.000 0.692
S 0.280 0.500 0.308
S 0.720 0.500 0.692
S 0.754 0.000 0.308
CELL_PARAMETERS angstrom
7.182 0.000 0.000
0.000 4.217 0.000
-2.425 0.000 7.626


(9)
! Rb3CaCe2S6, relaxed, DFT PBE; values from VASP
! ρ: 3.6 g cm⁻³
! raw total energy: -5.2243 eV per atom
! formation energy (no corrections): -1.76 eV/atom
! space group: C2/m (12)
&SYSTEM
  ibrav = 0, nat = 12, ntyp = 4
/
ATOMIC_SPECIES
Rb 85.47 Rb.upf
Ca 40.08 Ca.upf
Ce 140.12 Ce.upf
S 32.06 S.upf
ATOMIC_POSITIONS crystal
Rb 0.000 0.000 0.000
Rb 0.337 0.663 0.000
Rb 0.663 0.337 0.000
Ca 0.500 0.500 0.500
Ce 0.167 0.833 0.500
Ce 0.833 0.167 0.500
S 0.092 0.435 0.306
S 0.221 0.221 0.693
S 0.435 0.092 0.306
S 0.565 0.908 0.694
S 0.779 0.779 0.307
S 0.908 0.565 0.694
CELL_PARAMETERS angstrom
3.641 -6.305 0.000
3.641 6.305 0.000
-2.425 0.000 7.645


(10)
! Rb2CaCeSe4, relaxed, DFT PBE; values from VASP
! ρ: 4.3 g cm⁻³
! raw total energy: -4.6021 eV per atom
! formation energy (no corrections): -1.63 eV/atom
! space group: P2/m (10)
&SYSTEM
  ibrav = 0, nat = 8, ntyp = 4
/
ATOMIC_SPECIES
Rb 85.47 Rb.upf
Ca 40.08 Ca.upf
Ce 140.12 Ce.upf
Se 78.96 Se.upf
ATOMIC_POSITIONS crystal
Rb 0.000 0.000 0.000
Rb 0.500 0.500 0.000
Ca 0.000 0.500 0.500
Ce 0.500 0.000 0.500
Se 0.246 0.000 0.695
Se 0.279 0.500 0.304
Se 0.721 0.500 0.696
Se 0.754 0.000 0.305
CELL_PARAMETERS angstrom
7.474 0.000 0.000
0.000 4.385 0.000
-2.524 0.000 7.936


(11)
! Rb2CaCe2Se6, relaxed, DFT PBE; values from VASP
! ρ: 4.1 g cm⁻³
! raw total energy: -4.9792 eV per atom
! formation energy (no corrections): -1.64 eV/atom
! space group: C2/m (12)
&SYSTEM
  ibrav = 0, nat = 11, ntyp = 4
/
ATOMIC_SPECIES
Rb 85.47 Rb.upf
Ca 40.08 Ca.upf
Ce 140.12 Ce.upf
Se 78.96 Se.upf
ATOMIC_POSITIONS crystal
Rb 0.163 0.837 0.000
Rb 0.837 0.163 0.000
Ca 0.000 0.000 0.500
Ce 0.334 0.666 0.500
Ce 0.666 0.334 0.500
Se 0.059 0.408 0.690
Se 0.284 0.284 0.309
Se 0.408 0.059 0.690
Se 0.592 0.941 0.310
Se 0.716 0.716 0.691
Se 0.941 0.592 0.310
CELL_PARAMETERS angstrom
3.697 -6.446 0.000
3.697 6.446 0.000
-2.382 0.000 8.106


(12)
! Rb3CaCe3Se8, relaxed, DFT PBE; values from VASP
! ρ: 4.3 g cm⁻³
! raw total energy: -5.0254 eV per atom
! formation energy (no corrections): -1.65 eV/atom
! space group: R-3m (166)
&SYSTEM
  ibrav = 0, nat = 15, ntyp = 4
/
ATOMIC_SPECIES
Rb 85.47 Rb.upf
Ca 40.08 Ca.upf
Ce 140.12 Ce.upf
Se 78.96 Se.upf
ATOMIC_POSITIONS crystal
Rb 0.000 0.500 0.500
Rb 0.500 0.000 0.500
Rb 0.500 0.500 0.000
Ca 0.500 0.500 0.500
Ce 0.000 0.000 0.500
Ce 0.000 0.500 0.000
Ce 0.500 0.000 0.000
Se 0.220 0.736 0.736
Se 0.232 0.232 0.232
Se 0.264 0.264 0.780
Se 0.264 0.780 0.264
Se 0.736 0.220 0.736
Se 0.736 0.736 0.220
Se 0.768 0.768 0.768
Se 0.780 0.264 0.264
CELL_PARAMETERS angstrom
4.310 2.489 8.033
-4.310 2.489 8.033
0.000 -4.977 8.033


(13)
! Rb3CaCe2Te6, relaxed, DFT PBE; values from VASP
! ρ: 4.7 g cm⁻³
! raw total energy: -4.3146 eV per atom
! formation energy (no corrections): -1.35 eV/atom
! space group: C2/m (12)
&SYSTEM
  ibrav = 0, nat = 12, ntyp = 4
/
ATOMIC_SPECIES
Rb 85.47 Rb.upf
Ca 40.08 Ca.upf
Ce 140.12 Ce.upf
Te 127.60 Te.upf
ATOMIC_POSITIONS crystal
Rb 0.000 0.000 0.000
Rb 0.336 0.664 0.000
Rb 0.664 0.336 0.000
Ca 0.500 0.500 0.500
Ce 0.167 0.833 0.500
Ce 0.833 0.167 0.500
Te 0.092 0.433 0.298
Te 0.226 0.226 0.701
Te 0.433 0.092 0.298
Te 0.567 0.908 0.702
Te 0.774 0.774 0.299
Te 0.908 0.567 0.702
CELL_PARAMETERS angstrom
4.034 -6.986 0.000
4.034 6.986 0.000
-2.687 0.000 8.499


(14)
! CaCe2Re, relaxed, DFT PBE; values from VASP
! ρ: 7.3 g cm⁻³
! raw total energy: -6.4261 eV per atom
! space group: P4/mmm (123)
! formation enthalpy at 0 K: 0.153 eV per atom
&SYSTEM
  ibrav = 0, nat = 4, ntyp = 3
/
ATOMIC_SPECIES
Ca 40.08 Ca.upf
Ce 140.12 Ce.upf
Re 186.21 Re.upf
ATOMIC_POSITIONS crystal
Ca 0.000 0.000 0.000
Ce 0.500 0.500 0.325
Ce 0.500 0.500 0.675
Re 0.000 0.000 0.500
CELL_PARAMETERS angstrom
3.415 0.000 0.000
0.000 3.415 0.000
0.000 0.000 9.899


(15)
! CaCeRe4, relaxed, DFT PBE; values from VASP
! ρ: 13.4 g cm⁻³
! raw total energy: -9.5031 eV per atom
! space group: F-43m (216)
! formation enthalpy at 0 K: 0.118 eV per atom
&SYSTEM
  ibrav = 0, nat = 6, ntyp = 3
/
ATOMIC_SPECIES
Ca 40.08 Ca.upf
Ce 140.12 Ce.upf
Re 186.21 Re.upf
ATOMIC_POSITIONS crystal
Ca 0.000 0.000 0.000
Ce 0.750 0.750 0.750
Re 0.375 0.375 0.375
Re 0.375 0.375 0.875
Re 0.375 0.875 0.375
Re 0.875 0.375 0.375
CELL_PARAMETERS angstrom
0.000 3.853 3.853
3.853 0.000 3.853
3.853 3.853 0.000


(16)
! Ca2CeRh3, relaxed, DFT PBE; values from VASP
! ρ: 7.1 g cm⁻³
! raw total energy: -5.8773 eV per atom
! space group: Cmmm (65)
! formation enthalpy at 0 K: -0.545 eV per atom
&SYSTEM
  ibrav = 0, nat = 12, ntyp = 3
/
ATOMIC_SPECIES
Ca 40.08 Ca.upf
Ce 140.12 Ce.upf
Rh 102.91 Rh.upf
ATOMIC_POSITIONS crystal
Ca 0.000 0.000 0.000
Ca 0.000 0.000 0.500
Ca 0.335 0.665 0.000
Ca 0.665 0.335 0.000
Ce 0.337 0.663 0.500
Ce 0.663 0.337 0.500
Rh 0.176 0.824 0.276
Rh 0.176 0.824 0.724
Rh 0.500 0.500 0.272
Rh 0.500 0.500 0.728
Rh 0.824 0.176 0.276
Rh 0.824 0.176 0.724
CELL_PARAMETERS angstrom
2.493 -7.347 0.000
2.493 7.347 0.000
0.000 0.000 6.759


(17)
! CaCeRh, relaxed, DFT PBE; values from VASP
! ρ: 5.3 g cm⁻³
! raw total energy: -5.4577 eV per atom
! space group: P3m1 (156)
! formation enthalpy at 0 K: -0.362 eV per atom
&SYSTEM
  ibrav = 0, nat = 3, ntyp = 3
/
ATOMIC_SPECIES
Ca 40.08 Ca.upf
Ce 140.12 Ce.upf
Rh 102.91 Rh.upf
ATOMIC_POSITIONS crystal
Ca 0.000 0.000 0.000
Ce 0.667 0.333 0.498
Rh 0.333 0.667 0.283
CELL_PARAMETERS angstrom
3.954 0.000 0.000
-1.977 3.424 0.000
0.000 0.000 6.598


(18)
! CaCeRh, relaxed, DFT PBE; values from VASP
! ρ: 5.7 g cm⁻³
! raw total energy: -5.3843 eV per atom
! space group: F-43m (216)
! formation enthalpy at 0 K: -0.289 eV per atom
&SYSTEM
  ibrav = 0, nat = 12, ntyp = 3
/
ATOMIC_SPECIES
Ca 40.08 Ca.upf
Ce 140.12 Ce.upf
Rh 102.91 Rh.upf
ATOMIC_POSITIONS crystal
Ca 0.000 0.000 0.000
Ca 0.000 0.500 0.500
Ca 0.500 0.000 0.500
Ca 0.500 0.500 0.000
Ce 0.000 0.000 0.500
Ce 0.000 0.500 0.000
Ce 0.500 0.000 0.000
Ce 0.500 0.500 0.500
Rh 0.250 0.250 0.250
Rh 0.250 0.750 0.750
Rh 0.750 0.250 0.750
Rh 0.750 0.750 0.250
CELL_PARAMETERS angstrom
6.898 0.000 0.000
0.000 6.898 0.000
0.000 0.000 6.898


(19)
! Ca3CeRh4, relaxed, DFT PBE; values from VASP
! ρ: 6.8 g cm⁻³
! raw total energy: -5.6630 eV per atom
! space group: C2/m (12)
! formation enthalpy at 0 K: -0.495 eV per atom
&SYSTEM
  ibrav = 0, nat = 16, ntyp = 3
/
ATOMIC_SPECIES
Ca 40.08 Ca.upf
Ce 140.12 Ce.upf
Rh 102.91 Rh.upf
ATOMIC_POSITIONS crystal
Ca 0.000 0.000 0.000
Ca 0.247 0.000 0.242
Ca 0.253 0.500 0.758
Ca 0.500 0.500 0.000
Ca 0.747 0.500 0.242
Ca 0.753 0.000 0.758
Ce 0.000 0.500 0.500
Ce 0.500 0.000 0.500
Rh 0.114 0.500 0.145
Rh 0.115 0.000 0.609
Rh 0.385 0.500 0.391
Rh 0.386 0.000 0.855
Rh 0.614 0.000 0.145
Rh 0.615 0.500 0.609
Rh 0.885 0.000 0.391
Rh 0.886 0.500 0.855
CELL_PARAMETERS angstrom
14.521 0.000 0.000
0.000 4.845 0.000
-1.427 0.000 4.632


(20)
! CaCeRh, relaxed, DFT PBE; values from VASP
! ρ: 5.9 g cm⁻³
! raw total energy: -5.4869 eV per atom
! space group: I4mm (107)
! formation enthalpy at 0 K: -0.391 eV per atom
&SYSTEM
  ibrav = 0, nat = 6, ntyp = 3
/
ATOMIC_SPECIES
Ca 40.08 Ca.upf
Ce 140.12 Ce.upf
Rh 102.91 Rh.upf
ATOMIC_POSITIONS crystal
Ca 0.000 0.000 0.000
Ca 0.500 0.500 0.500
Ce 0.000 0.000 0.257
Ce 0.500 0.500 0.757
Rh 0.000 0.000 0.647
Rh 0.500 0.500 0.147
CELL_PARAMETERS angstrom
3.484 0.000 0.000
0.000 3.484 0.000
0.000 0.000 13.203